1.
Crystalline CrRe2Ni at its relaxed geometry, computed with GGA-PBE.

Cell: 5.382 5.382 5.382 Å, 103.38 103.38 122.49°
Element x y z (fractional)
Cr: 0.000 0.000 0.000
Cr: 0.750 0.250 0.500
Re: 0.110 0.125 0.485
Re: 0.375 0.890 0.015
Re: 0.640 0.625 0.515
Re: 0.875 0.360 0.985
Ni: 0.250 0.750 0.500
Ni: 0.500 0.500 0.000

Summary:
Excess energy over the best structure of this formula in the dataset, meV per atom: 737
Calculated volume, Å³/cell: 115.3
Calculated total energy, eV/atom: -9.313
Magnetic moment, μB/f.u.: 0.00
SG: I-42d (122)
Calculated formation energy, eV per formula unit: 3.05



2.
Crystalline CrRe2Ni at its relaxed geometry, computed with GGA-PBE.

Cell: 4.254 4.254 4.254 Å, 60.00 60.00 60.00°
Element x y z (fractional)
Cr: 0.000 0.000 0.000
Re: 0.500 0.500 0.500
Re: 0.750 0.750 0.750
Ni: 0.250 0.250 0.250

Summary:
Excess energy over the best structure of this formula in the dataset, meV per atom: 142
Calculated volume, Å³/cell: 54.4
Calculated total energy, eV/atom: -9.907
Magnetic moment, μB/f.u.: 1.92
SG: F-43m (216)
Calculated formation energy, eV per formula unit: 0.67



3.
Crystalline Cr2ReNi2 at its relaxed geometry, computed with GGA-PBE.

Cell: 6.911 6.911 2.540 Å, 90.00 90.00 90.00°
Element x y z (fractional)
Cr: 0.116 0.384 0.000
Cr: 0.384 0.884 0.000
Cr: 0.616 0.116 0.000
Cr: 0.884 0.616 0.000
Re: 0.000 0.000 0.000
Re: 0.500 0.500 0.000
Ni: 0.179 0.679 0.500
Ni: 0.321 0.179 0.500
Ni: 0.679 0.821 0.500
Ni: 0.821 0.321 0.500

Summary:
Excess energy over the best structure of this formula in the dataset, meV per atom: 79
Calculated volume, Å³/cell: 121.3
Calculated total energy, eV/atom: -8.395
Magnetic moment, μB/f.u.: 0.01
SG: P4/mbm (127)
Calculated formation energy, eV per formula unit: 1.28



4.
Crystalline CrRe2Ni at its relaxed geometry, computed with GGA-PBE.

Cell: 4.210 4.210 4.210 Å, 60.00 60.00 60.00°
Element x y z (fractional)
Cr: 0.000 0.000 0.000
Re: 0.250 0.250 0.250
Re: 0.750 0.750 0.750
Ni: 0.500 0.500 0.500

Summary:
Excess energy over the best structure of this formula in the dataset, meV per atom: 173
Calculated volume, Å³/cell: 52.8
Calculated total energy, eV/atom: -9.876
Magnetic moment, μB/f.u.: 0.00
SG: Fm-3m (225)
Calculated formation energy, eV per formula unit: 0.80